# 1
6
Lattice="2.9534 0.0000 0.0000 0.0000 2.9534 0.0000 0.0000 0.0000 9.6414" Properties=species:S:1:pos:R:3 comment="Ga2TcRu3 PBE relaxed" e_form_kj_per_mol_atoms=-16.54 pbc="T T T"
Ga 0.0000 0.0000 1.5364
Ga 0.0000 0.0000 8.1050
Tc 0.0000 0.0000 4.8207
Ru 1.4767 1.4767 0.0000
Ru 1.4767 1.4767 3.1368
Ru 1.4767 1.4767 6.5047

---

# 2
10
Lattice="7.4758 0.0000 0.0000 0.0000 7.4758 0.0000 0.0000 0.0000 2.7666" Properties=species:S:1:pos:R:3 comment="GaTc2Ru2 PBE relaxed" e_form_kj_per_mol_atoms=19.97 pbc="T T T"
Ga 0.0000 0.0000 0.0000
Ga 3.7379 3.7379 0.0000
Tc 1.2429 2.4950 1.3833
Tc 2.4950 6.2329 1.3833
Tc 4.9808 1.2429 1.3833
Tc 6.2329 4.9808 1.3833
Ru 0.9403 4.6782 0.0000
Ru 2.7976 0.9403 0.0000
Ru 4.6782 6.5355 0.0000
Ru 6.5355 2.7976 0.0000

---

# 3
3
Lattice="2.7969 0.0000 0.0000 -1.3984 2.4222 0.0000 0.0000 0.0000 6.4391" Properties=species:S:1:pos:R:3 comment="GaTcRu PBE relaxed" e_form_kj_per_mol_atoms=-6.20 pbc="T T T"
Ga 0.0000 0.0000 0.0000
Tc 1.3984 0.8074 2.2139
Ru 0.0000 1.6148 4.2761

---

# 4
4
Lattice="0.0000 3.0710 3.0710 3.0710 0.0000 3.0710 3.0710 3.0710 0.0000" Properties=species:S:1:pos:R:3 comment="TiGaTcRu PBE relaxed" e_form_kj_per_mol_atoms=-40.81 pbc="T T T"
Ti 0.0000 0.0000 0.0000
Ga 3.0710 3.0710 3.0710
Tc 1.5355 1.5355 1.5355
Ru 4.6065 4.6065 4.6065

---

# 5
4
Lattice="3.1275 0.0000 0.0000 0.0000 4.2641 0.0000 0.0000 0.0000 4.3244" Properties=species:S:1:pos:R:3 comment="TiGaTcRu PBE relaxed" e_form_kj_per_mol_atoms=-43.15 pbc="T T T"
Ti 0.0000 0.0000 0.0000
Ga 0.0000 2.1321 2.1622
Tc 1.5638 2.1321 0.0000
Ru 1.5638 0.0000 2.1622

---

# 6
4
Lattice="3.5394 0.0000 0.0000 0.0000 4.2522 0.0000 0.0000 0.0000 4.3645" Properties=species:S:1:pos:R:3 comment="UGaTcRu PBE relaxed" e_form_kj_per_mol_atoms=-37.87 pbc="T T T"
U 0.0000 0.0000 0.0000
Ga 0.0000 2.1261 2.1823
Tc 1.7697 2.1261 0.0000
Ru 1.7697 0.0000 2.1823

---

# 7
4
Lattice="0.0000 3.2325 3.2325 3.2325 0.0000 3.2325 3.2325 3.2325 0.0000" Properties=species:S:1:pos:R:3 comment="UGaTcRu PBE relaxed" e_form_kj_per_mol_atoms=-24.13 pbc="T T T"
U 0.0000 0.0000 0.0000
Ga 3.2325 3.2325 3.2325
Tc 4.8487 4.8487 4.8487
Ru 1.6162 1.6162 1.6162

---

# 8
4
Lattice="3.0344 0.0000 0.0000 0.0000 3.0344 0.0000 0.0000 0.0000 6.0539" Properties=species:S:1:pos:R:3 comment="VGaTcRu PBE relaxed" e_form_kj_per_mol_atoms=-31.40 pbc="T T T"
V 0.0000 0.0000 0.0000
Ga 0.0000 0.0000 3.0276
Tc 1.5172 1.5172 1.4531
Ru 1.5172 1.5172 4.5478

---

# 9
4
Lattice="0.0000 3.0287 3.0287 3.0287 0.0000 3.0287 3.0287 3.0287 0.0000" Properties=species:S:1:pos:R:3 comment="VGaTcRu PBE relaxed" e_form_kj_per_mol_atoms=-33.23 pbc="T T T"
V 0.0000 0.0000 0.0000
Ga 3.0287 3.0287 3.0287
Tc 1.5144 1.5144 1.5144
Ru 4.5431 4.5431 4.5431

---

# 10
5
Lattice="4.8130 0.0000 0.0000 0.0000 4.8130 0.0000 0.0000 0.0000 4.8338" Properties=species:S:1:pos:R:3 comment="GaTc2RuW PBE relaxed" e_form_kj_per_mol_atoms=161.43 pbc="T T T"
Ga 0.0000 0.0000 0.0000
Tc 0.0000 2.4065 2.4169
Tc 2.4065 0.0000 2.4169
Ru 2.4065 2.4065 0.0000
W 2.4065 2.4065 2.4169

---

# 11
10
Lattice="7.3904 0.0000 0.0000 0.0000 7.3904 0.0000 0.0000 0.0000 3.0300" Properties=species:S:1:pos:R:3 comment="Ga2TeRu2 PBE relaxed" e_form_raw_ev_per_fu=0.662 pbc="T T T"
Ga 0.9309 2.7643 0.0000
Ga 2.7643 6.4595 0.0000
Ga 4.6262 0.9309 0.0000
Ga 6.4595 4.6262 0.0000
Te 0.0000 0.0000 0.0000
Te 3.6952 3.6952 0.0000
Ru 1.2398 4.9350 1.5150
Ru 2.4554 1.2398 1.5150
Ru 4.9350 6.1506 1.5150
Ru 6.1506 2.4554 1.5150

---

# 12
10
Lattice="7.3843 0.0000 0.0000 0.0000 7.3843 0.0000 0.0000 0.0000 3.0947" Properties=species:S:1:pos:R:3 comment="Ga2TeRu2 PBE relaxed" e_form_raw_ev_per_fu=-0.274 pbc="T T T"
Ga 1.0072 2.6849 0.0000
Ga 2.6849 6.3771 0.0000
Ga 4.6994 1.0072 0.0000
Ga 6.3771 4.6994 0.0000
Te 0.0000 0.0000 1.5474
Te 3.6922 3.6922 1.5474
Ru 1.1628 4.8550 1.5474
Ru 2.5294 1.1628 1.5474
Ru 4.8550 6.2215 1.5474
Ru 6.2215 2.5294 1.5474

---

# 13
8
Lattice="-3.0841 3.0841 6.1321 3.0841 -3.0841 6.1321 3.0841 3.0841 -6.1321" Properties=species:S:1:pos:R:3 comment="GaTe2Ru PBE relaxed" e_form_raw_ev_per_fu=0.292 pbc="T T T"
Ga 0.0000 0.0000 0.0000
Ga 0.0000 3.0841 3.0660
Te 1.5420 -1.3373 4.5991
Te 1.7468 1.5420 1.5330
Te 1.5420 4.4213 -1.5330
Te 1.3373 1.5420 7.6651
Ru 3.0841 0.0000 3.0660
Ru 0.0000 0.0000 6.1321

---

# 14
5
Lattice="4.8947 0.0000 0.0000 0.0000 4.8947 0.0000 0.0000 0.0000 4.8947" Properties=species:S:1:pos:R:3 comment="Ga3TeRu PBE relaxed" e_form_raw_ev_per_fu=0.214 pbc="T T T"
Ga 0.0000 0.0000 2.4474
Ga 0.0000 2.4474 0.0000
Ga 2.4474 0.0000 0.0000
Te 2.4474 2.4474 2.4474
Ru 0.0000 0.0000 0.0000

---

# 15
4
Lattice="1.9183 1.1075 9.0531 -1.9183 1.1075 9.0531 0.0000 -2.2151 9.0531" Properties=species:S:1:pos:R:3 comment="GaTe2Ru PBE relaxed" e_form_raw_ev_per_fu=0.456 pbc="T T T"
Ga 0.0000 0.0000 0.0000
Te 0.0000 0.0000 3.0674
Te 0.0000 0.0000 24.0919
Ru 0.0000 0.0000 13.5797

---

# 16
5
Lattice="-2.2764 2.2764 4.4656 2.2764 -2.2764 4.4656 2.2764 2.2764 -4.4656" Properties=species:S:1:pos:R:3 comment="Ga2TeRu2 PBE relaxed" e_form_raw_ev_per_fu=1.320 pbc="T T T"
Ga 0.0000 0.0000 1.2808
Ga 0.0000 0.0000 7.6504
Te 0.0000 0.0000 4.4656
Ru 2.2764 0.0000 2.2328
Ru 0.0000 2.2764 2.2328

---

# 17
12
Lattice="7.6579 0.0000 0.0000 0.0000 4.2181 0.0000 0.0000 0.0000 6.9934" Properties=species:S:1:pos:R:3 comment="ThGa4Ru PBE relaxed" e_form_kj_per_mol_atoms=-49.40 pbc="T T T"
Th 1.9145 0.0000 0.9216
Th 5.7434 0.0000 6.0717
Ga 0.0000 0.0000 3.4967
Ga 0.4928 2.1090 5.7307
Ga 1.9145 2.1090 3.2369
Ga 3.3361 2.1090 5.7307
Ga 3.8289 0.0000 3.4967
Ga 4.3217 2.1090 1.2627
Ga 5.7434 2.1090 3.7564
Ga 7.1650 2.1090 1.2627
Ru 1.9145 0.0000 4.9720
Ru 5.7434 0.0000 2.0214

---

# 18
17
Lattice="5.4800 0.0000 0.0000 -2.7400 4.7458 0.0000 0.0000 0.0000 12.1220" Properties=species:S:1:pos:R:3 comment="Th2Ga6Ru9 PBE relaxed" e_form_kj_per_mol_atoms=-10.22 pbc="T T T"
Th 0.0000 0.0000 2.4563
Th 0.0000 0.0000 9.6656
Ga 0.0000 3.1639 1.9934
Ga 0.0000 3.1639 6.0610
Ga 0.0000 3.1639 10.1285
Ga 2.7400 1.5819 1.9934
Ga 2.7400 1.5819 6.0610
Ga 2.7400 1.5819 10.1285
Ru -1.3700 2.3729 0.0000
Ru -1.3700 2.3729 4.0130
Ru -1.3700 2.3729 8.1090
Ru 2.7400 0.0000 0.0000
Ru 2.7400 0.0000 4.0130
Ru 2.7400 0.0000 8.1090
Ru 1.3700 2.3729 0.0000
Ru 1.3700 2.3729 4.0130
Ru 1.3700 2.3729 8.1090

---

# 19
4
Lattice="4.4214 0.0000 0.0000 0.0000 4.4214 0.0000 0.0000 0.0000 3.6618" Properties=species:S:1:pos:R:3 comment="ThGaRu2 PBE relaxed" e_form_kj_per_mol_atoms=-40.66 pbc="T T T"
Th 0.0000 0.0000 0.0000
Ga 2.2107 2.2107 0.0000
Ru 0.0000 2.2107 1.8309
Ru 2.2107 0.0000 1.8309

---

# 20
8
Lattice="-1.8910 4.1038 4.6015 1.8910 -4.1038 4.6015 1.8910 4.1038 -4.6015" Properties=species:S:1:pos:R:3 comment="ThGa5Ru2 PBE relaxed" e_form_kj_per_mol_atoms=-39.85 pbc="T T T"
Th 0.0000 0.0000 0.0000
Ga 1.8910 2.5324 -1.4191
Ga 1.8910 2.5324 1.4191
Ga 0.0000 4.1038 0.0000
Ga 0.0000 1.5714 3.1824
Ga 0.0000 1.5714 6.0206
Ru 1.8910 0.0000 2.1106
Ru 0.0000 4.1038 2.4909

---

# 21
10
Lattice="5.8061 -1.9195 0.0000 5.8061 1.9195 0.0000 -5.6721 0.0000 10.5916" Properties=species:S:1:pos:R:3 comment="Th2Ga2Ru PBE relaxed" e_form_kj_per_mol_atoms=-53.98 pbc="T T T"
Th -1.0883 0.0000 3.8126
Th 1.8330 0.0000 1.2161
Th 4.1070 0.0000 9.3755
Th 7.0284 0.0000 6.7790
Ga 2.1757 0.0000 4.3224
Ga 5.0203 0.0000 1.1509
Ga 0.9197 0.0000 9.4407
Ga 3.7643 0.0000 6.2692
Ru -0.8147 0.0000 7.4677
Ru 6.7548 0.0000 3.1239

---

# 22
80
Lattice="-8.4919 8.4919 8.4919 8.4919 -8.4919 8.4919 8.4919 8.4919 -8.4919" Properties=species:S:1:pos:R:3 comment="Th12Ga3Ru5 PBE relaxed" e_form_kj_per_mol_atoms=-6.80 pbc="T T T"
Th 2.5590 -0.4079 1.0555
Th 10.1787 5.3014 -4.6539
Th 11.0509 0.4079 1.0555
Th 10.1787 -3.1905 4.6539
Th 8.0839 -1.0555 2.5590
Th 13.1457 -1.6869 3.1905
Th 1.0555 2.5590 -0.4079
Th 11.6823 3.8380 -1.6869
Th 5.3014 4.6539 -1.6869
Th 7.4364 2.5590 0.4079
Th -0.4079 1.0555 2.5590
Th 4.6539 -1.6869 5.3014
Th 8.0839 7.4364 -2.5590
Th 4.6539 1.6869 3.1905
Th 5.3014 -4.6539 10.1787
Th 7.4364 -2.5590 8.0839
Th 3.1905 4.6539 1.6869
Th 9.5473 5.9328 0.4079
Th 4.6539 10.1787 -3.1905
Th 8.0839 1.0555 5.9328
Th 2.5590 8.0839 -1.0555
Th 10.1787 3.1905 3.8380
Th 1.6869 3.1905 4.6539
Th 2.5590 0.4079 7.4364
Th 5.9328 8.0839 1.0555
Th 6.8050 5.3014 3.8380
Th -1.6869 5.3014 4.6539
Th 5.9328 0.4079 9.5473
Th 0.4079 7.4364 2.5590
Th 3.8380 -1.6869 11.6823
Th -1.0555 2.5590 8.0839
Th 5.3014 3.8380 6.8050
Th 1.0555 11.0509 0.4079
Th 3.1905 13.1457 -1.6869
Th 3.8380 6.8050 5.3014
Th 0.4079 1.0555 11.0509
Th 3.8380 10.1787 3.1905
Th 8.8998 7.4364 5.9328
Th 1.0555 5.9328 8.0839
Th 3.1905 3.8380 10.1787
Th -3.1905 4.6539 10.1787
Th 7.4364 5.9328 8.8998
Th -4.6539 10.1787 5.3014
Th 0.4079 9.5473 5.9328
Th -1.6869 11.6823 3.8380
Th -2.5590 8.0839 7.4364
Th -1.6869 3.1905 13.1457
Th 5.9328 8.8998 7.4364
Ga 4.2459 2.1230 0.0000
Ga 8.4919 4.2459 -2.1230
Ga 2.1230 0.0000 4.2459
Ga 10.6148 0.0000 4.2459
Ga 0.0000 4.2459 2.1230
Ga 4.2459 -2.1230 8.4919
Ga 4.2459 10.6148 0.0000
Ga 8.4919 4.2459 6.3689
Ga -2.1230 8.4919 4.2459
Ga 6.3689 8.4919 4.2459
Ga 0.0000 4.2459 10.6148
Ga 4.2459 6.3689 8.4919
Ru 0.0000 0.0000 0.0000
Ru 4.2459 4.2459 -4.2459
Ru 4.2459 -4.2459 4.2459
Ru 8.4919 0.0000 0.0000
Ru 12.7378 2.1230 0.0000
Ru 8.4919 -4.2459 6.3689
Ru 6.3689 8.4919 -4.2459
Ru 6.3689 0.0000 4.2459
Ru 4.2459 6.3689 0.0000
Ru 8.4919 4.2459 2.1230
Ru -4.2459 4.2459 4.2459
Ru 0.0000 8.4919 0.0000
Ru 0.0000 0.0000 8.4919
Ru 4.2459 4.2459 4.2459
Ru 0.0000 4.2459 6.3689
Ru 4.2459 2.1230 8.4919
Ru 2.1230 8.4919 4.2459
Ru 2.1230 0.0000 12.7378
Ru 0.0000 12.7378 2.1230
Ru -4.2459 6.3689 8.4919

---

Total magnetization for every record listed, in sequence, given in Bohr magnetons per cell: 0.0 0.0 0.0 0.0 0.0 0.0 0.7 0.0 0.0 3.3 0.0 0.0 0.0 0.0 0.0 0.0 0.0 5.0 0.0 0.0 0.0 0.0.